Below is an optimized crystal structure of Rb2LaYCo, with properties calculated at the PBE level.

Its final energy is -2.93 eV per atom. As for the mass density: 3.72 g/cm³. The density of states at the Fermi level is 8.1 states/eV/cell.

a = 6.7931 Å, b = 4.4312 Å, c = 6.7931 Å
α = 90.00°, β = 90.00°, γ = 90.00°
Fractional positions:
Rb (0.0000, 0.0000, 0.5000)
Rb (0.5000, 0.0000, 0.0000)
La (0.5000, 0.5000, 0.5000)
Y (0.0000, 0.0000, 0.0000)
Co (0.0000, 0.5000, 0.0000)


Below is an optimized crystal structure of CuTc, with properties calculated at the PBE level.

As for the mass density: 9.88 g/cm³. The density of states at the Fermi level is 2.2 states/eV/cell. The distance to the lowest polymorph of the same formula is 18.94 kJ per mole of atoms.

a = 2.6490 Å, b = 2.6490 Å, c = 4.4685 Å
α = 90.00°, β = 90.00°, γ = 120.00°
Fractional positions:
Tc (0.3333, 0.6667, 0.5000)
Cu (0.0000, 0.0000, 0.0000)


Below is an optimized crystal structure of LaPdPtAu2, with properties calculated at the PBE level.

Its final energy is -3.68 eV per atom. As for the mass density: 8.44 g/cm³. The density of states at the Fermi level is 10.3 states/eV/cell.

a = 5.5914 Å, b = 5.2502 Å, c = 5.5914 Å
α = 90.00°, β = 90.00°, γ = 90.00°
Fractional positions:
Au (0.5000, 0.0000, 0.0000)
Au (0.0000, 0.0000, 0.5000)
Pt (0.0000, 0.5000, 0.0000)
Pd (0.5000, 0.5000, 0.5000)
La (0.0000, 0.0000, 0.0000)